# Te3W2Se4Cl8O2

A PBEsol-optimized structure of Te3W2Se4Cl8O2 (SCAN, Alexandria).

```
data_Te3W2Se4Cl8O2
_chemical_formula_sum 'Te12 W8 Se16 Cl32 O8'
_space_group_name_H-M_alt 'C 1 2/c 1'
_space_group_IT_number 15
_cell_length_a 12.199
_cell_length_b 10.742
_cell_length_c 15.123
_cell_angle_alpha 90.00
_cell_angle_beta 102.67
_cell_angle_gamma 90.00
loop_
_space_group_symop_operation_xyz
'x,y,z'
'-x,-y,-z'
'-x,y,-z+1/2'
'x,-y,z+1/2'
'x+1/2,y+1/2,z'
'-x+1/2,-y+1/2,-z'
'-x+1/2,y+1/2,-z+1/2'
'x+1/2,-y+1/2,z+1/2'
loop_
_atom_site_label
_atom_site_type_symbol
_atom_site_fract_x
_atom_site_fract_y
_atom_site_fract_z
Te1 Te 0.000 0.086 0.250
Te2 Te 0.053 0.146 0.554
W1 W 0.003 0.488 0.125
Se1 Se 0.136 0.041 0.978
Se2 Se 0.140 0.069 0.719
Cl1 Cl 0.105 0.327 0.888
Cl2 Cl 0.112 0.307 0.140
Cl3 Cl 0.160 0.363 0.411
Cl4 Cl 0.166 0.392 0.656
O1 O 0.000 0.483 0.250
O2 O 0.000 0.500 0.000
```

Raw formation energy = -0.80 eV/atom
N(E_F) = 14.8 states/eV per cell
Calculated volume = 1933 Å³ per cell

---

# TlSeClO2

A PBEsol-optimized structure of TlSeClO2 (SCAN, Alexandria).

```
data_TlSeClO2
_chemical_formula_sum 'Tl1 Se1 Cl1 O2'
_space_group_name_H-M_alt 'P 4/m m m'
_space_group_IT_number 123
_space_group_name_Hall '-P 4 2'
_cell_length_a 3.880
_cell_length_b 3.880
_cell_length_c 5.878
_cell_angle_alpha 90.00
_cell_angle_beta 90.00
_cell_angle_gamma 90.00
loop_
_atom_site_label
_atom_site_type_symbol
_atom_site_fract_x
_atom_site_fract_y
_atom_site_fract_z
Tl1 Tl 0.000 0.000 0.000
Se1 Se 0.000 0.000 0.500
Cl1 Cl 0.500 0.500 0.000
O1 O 0.000 0.500 0.500
```

Raw formation energy = -0.30 eV/atom
N(E_F) = 1.7 states/eV per cell
Calculated volume = 89 Å³ per cell

---

# Si2Cl2O3

A PBEsol-optimized structure of Si2Cl2O3 (SCAN, Alexandria).

```
data_Si2Cl2O3
_chemical_formula_sum 'Si24 Cl24 O36'
_space_group_name_H-M_alt 'R -3'
_space_group_IT_number 148
_space_group_name_Hall '-R 3'
_cell_length_a 12.7566
_cell_length_b 12.7566
_cell_length_c 12.9387
_cell_angle_alpha 90.00
_cell_angle_beta 90.00
_cell_angle_gamma 120.00
loop_
_atom_site_label
_atom_site_type_symbol
_atom_site_fract_x
_atom_site_fract_y
_atom_site_fract_z
Si1 Si 0.0000 0.0000 0.2075
Si2 Si 0.0262 0.2106 0.0691
Cl1 Cl 0.0000 0.0000 0.3630
Cl2 Cl 0.0114 0.7134 0.5459
O1 O 0.0311 0.1328 0.1664
O2 O 0.0947 0.5630 0.6554
```

Raw formation energy = -2.41 eV/atom
N(E_F) = 0.0 states/eV per cell
Calculated volume = 1823 Å³ per cell

---

# Si3ClO

A PBEsol-optimized structure of Si3ClO (SCAN, Alexandria).

```
data_Si3ClO
_chemical_formula_sum 'Si3 Cl1 O1'
_space_group_name_H-M_alt 'P m -3 m'
_space_group_IT_number 221
_space_group_name_Hall '-P 4 2 3'
_cell_length_a 4.686
_cell_length_b 4.686
_cell_length_c 4.686
_cell_angle_alpha 90.00
_cell_angle_beta 90.00
_cell_angle_gamma 90.00
loop_
_atom_site_label
_atom_site_type_symbol
_atom_site_fract_x
_atom_site_fract_y
_atom_site_fract_z
Si1 Si 0.000 0.000 0.500
Cl1 Cl 0.000 0.000 0.000
O1 O 0.500 0.500 0.500
```

Raw formation energy = 1.79 eV/atom
N(E_F) = 2.0 states/eV per cell
Calculated volume = 103 Å³ per cell

---

# Si6Cl10O7

A PBEsol-optimized structure of Si6Cl10O7 (SCAN, Alexandria).

```
data_Si6Cl10O7
_chemical_formula_sum 'Si12 Cl20 O14'
_space_group_name_H-M_alt 'P 1 21/m 1'
_space_group_IT_number 11
_cell_length_a 6.297
_cell_length_b 21.093
_cell_length_c 8.543
_cell_angle_alpha 90.00
_cell_angle_beta 100.10
_cell_angle_gamma 90.00
loop_
_space_group_symop_operation_xyz
'x,y,z'
'-x,-y,-z'
'-x,y+1/2,-z'
'x,-y+1/2,z'
loop_
_atom_site_label
_atom_site_type_symbol
_atom_site_fract_x
_atom_site_fract_y
_atom_site_fract_z
Si1 Si 0.004 0.117 0.052
Si2 Si 0.118 0.119 0.700
Si3 Si 0.217 0.250 0.118
Si4 Si 0.344 0.250 0.774
Cl1 Cl 0.146 0.612 0.472
Cl2 Cl 0.182 0.052 0.191
Cl3 Cl 0.313 0.602 0.946
Cl4 Cl 0.329 0.050 0.667
Cl5 Cl 0.341 0.750 0.249
Cl6 Cl 0.449 0.250 0.313
O1 O 0.050 0.110 0.872
O2 O 0.065 0.188 0.118
O3 O 0.227 0.188 0.687
O4 O 0.329 0.250 0.961
```

Raw formation energy = -2.11 eV/atom
N(E_F) = 0.0 states/eV per cell
Calculated volume = 1117 Å³ per cell

---

# Sr2SiCl2O3

A PBEsol-optimized structure of Sr2SiCl2O3 (SCAN, Alexandria).

```
data_Sr2SiCl2O3
_chemical_formula_sum 'Sr16 Si8 Cl16 O24'
_space_group_name_H-M_alt 'I 4/m'
_space_group_IT_number 87
_space_group_name_Hall '-I 4'
_cell_length_a 11.148
_cell_length_b 11.148
_cell_length_c 9.479
_cell_angle_alpha 90.00
_cell_angle_beta 90.00
_cell_angle_gamma 90.00
loop_
_atom_site_label
_atom_site_type_symbol
_atom_site_fract_x
_atom_site_fract_y
_atom_site_fract_z
Sr1 Sr 0.081 0.749 0.230
Si1 Si 0.097 0.183 0.500
Cl1 Cl 0.000 0.000 0.205
Cl2 Cl 0.000 0.500 0.250
Cl3 Cl 0.100 0.250 0.000
O1 O 0.051 0.834 0.500
O2 O 0.129 0.246 0.352
```

Raw formation energy = -3.11 eV/atom
N(E_F) = 0.0 states/eV per cell
Calculated volume = 1178 Å³ per cell